A plane-wave DFT calculation with PBE was carried out for crystalline Pm2HoGa2Ag2 at its relaxed geometry.

a = 4.6198 Å, b = 4.6198 Å, c = 9.5057 Å
α = 75.94°, β = 75.94°, γ = 60.00°
With the nearest neighbours (Å) after each atom.
Positions (direct):
Pm (0.1247, 0.1247, 0.6258)  3 Ga 3.06, 3 Ag 3.22, 1 Ho 3.41
Pm (0.8753, 0.8753, 0.3742)  3 Ga 3.06, 3 Ag 3.22, 1 Ho 3.41
Ho (0.0000, 0.0000, 0.0000)  6 Ag 3.12, 6 Ga 3.29, 2 Pm 3.41
Ga (0.7370, 0.7370, 0.7891)  3 Ag 2.69
Ga (0.2630, 0.2630, 0.2109)  3 Ag 2.69
Ag (0.6078, 0.6078, 0.1767)  3 Ga 2.69
Ag (0.3922, 0.3922, 0.8233)  3 Ga 2.69

Results
**ΔE_f**: -0.37 eV per atom
**VASP energy**: -4.065 eV/atom
**Size of the total moment**: 0.0 Bohr magnetons per cell